(1)
Material: Li2Pr2HfO6
Method: DFT, PBE-GGA
State: relaxed

Cell lengths 5.7570, 5.7570, 6.1470 Å; angles 62.08, 62.08, 60.00 degrees
With the nearest neighbours (Å) after each atom.
Element x y z (fractional)
Li: 0.4280 0.4280 0.7159  3 O 1.78
Li: 0.5720 0.5720 0.2841  3 O 1.78
Pr: 0.7918 0.7918 0.6245  3 O 2.40
Pr: 0.2082 0.2082 0.3755  3 O 2.40
Hf: 0.0000 0.0000 0.0000  6 O 2.08
O: 0.7556 0.7556 0.2696  1 Li 1.78
O: 0.2192 0.7556 0.2696  1 Li 1.78
O: 0.7556 0.2192 0.2696  1 Li 1.78
O: 0.2444 0.7808 0.7304  1 Li 1.78
O: 0.7808 0.2444 0.7304  1 Li 1.78
O: 0.2444 0.2444 0.7304  1 Li 1.78

Computed properties:
Total moment = 0.000 μB/f.u.
Formation energy from raw total energies = -2.747 eV/atom

---

(2)
Material: LiPr2HfO6
Method: DFT, PBE-GGA
State: relaxed

Cell lengths 5.6318, 5.9386, 8.0450 Å; angles 90.00, 92.06, 90.00 degrees
With the nearest neighbours (Å) after each atom.
Element x y z (fractional)
Li: 0.5000 0.0000 0.5000  6 O 2.20-2.21
Li: 0.0000 0.5000 0.0000  6 O 2.20-2.21
Pr: 0.0228 0.9338 0.2454  6 O 2.38-2.64
Pr: 0.5228 0.5662 0.7454  6 O 2.38-2.64
Pr: 0.9772 0.0662 0.7546  6 O 2.38-2.64
Pr: 0.4772 0.4338 0.2546  6 O 2.38-2.64
Hf: 0.5000 0.0000 0.0000  6 O 2.07-2.09
Hf: 0.0000 0.5000 0.5000  6 O 2.07-2.09
O: 0.3136 0.7097 0.0643  1 Hf 2.09, 1 Li 2.21
O: 0.8136 0.7903 0.5643  1 Hf 2.09, 1 Li 2.21
O: 0.6864 0.2903 0.9357  1 Hf 2.09, 1 Li 2.21
O: 0.1864 0.2097 0.4357  1 Hf 2.09, 1 Li 2.21
O: 0.2978 0.6876 0.4464  1 Hf 2.07, 1 Li 2.21
O: 0.7978 0.8124 0.9464  1 Hf 2.07, 1 Li 2.21
O: 0.7022 0.3124 0.5536  1 Hf 2.07, 1 Li 2.21
O: 0.2022 0.1876 0.0536  1 Hf 2.07, 1 Li 2.21
O: 0.8830 0.5451 0.2554  1 Hf 2.07, 1 Li 2.20
O: 0.3830 0.9549 0.7554  1 Hf 2.07, 1 Li 2.20
O: 0.1170 0.4549 0.7446  1 Hf 2.07, 1 Li 2.20
O: 0.6170 0.0451 0.2446  1 Hf 2.07, 1 Li 2.20

Computed properties:
Total moment = 1.091 μB/f.u.
Formation energy from raw total energies = -2.942 eV/atom

---

(3)
Material: LiHf2PtO
Method: DFT, PBE-GGA
State: relaxed

Cell lengths 4.4175, 4.4175, 3.7520 Å; angles 90.00, 90.00, 90.00 degrees
With the nearest neighbours (Å) after each atom.
Element x y z (fractional)
Hf: 0.0000 0.5000 0.0000  2 O 2.21
Hf: 0.5000 0.0000 0.0000  2 O 2.21
O: 0.0000 0.0000 0.0000  2 Li 1.88
Pt: 0.5000 0.5000 0.5000  8 Hf 2.90, 4 Li 3.12
Li: 0.0000 0.0000 0.5000  2 O 1.88

Computed properties:
Total moment = 0.000 μB/f.u.
Formation energy from raw total energies = -1.543 eV/atom

---

(4)
Material: LiPuHfO4
Method: DFT, PBE-GGA
State: relaxed

Cell lengths 7.3284, 6.1594, 6.6321 Å; angles 122.57, 90.00, 126.50 degrees
With the nearest neighbours (Å) after each atom.
Element x y z (fractional)
Li: 0.5000 0.5000 0.5000  2 O 2.02
Li: 0.0000 0.5000 0.5000  2 O 2.02
Pu: 0.9406 0.8812 0.1906  6 O 2.27-2.46
Pu: 0.0594 0.1188 0.8094  6 O 2.27-2.46
Hf: 0.5000 0.0000 0.5000  6 O 2.09-2.13
Hf: 0.5000 0.0000 0.0000  6 O 2.09-2.13
O: 0.7810 0.5619 0.7379  1 Hf 2.09, 1 Pu 2.27, 2 Li 2.30
O: 0.3013 0.9667 0.2334  1 Li 2.02, 2 Hf 2.13
O: 0.6655 0.9667 0.2334  1 Li 2.02, 2 Hf 2.13
O: 0.7810 0.5619 0.3241  1 Hf 2.09, 1 Pu 2.27, 2 Li 2.30
O: 0.2190 0.4381 0.6759  1 Hf 2.09, 1 Pu 2.27, 2 Li 2.30
O: 0.6987 0.0333 0.7666  1 Li 2.02, 2 Hf 2.13
O: 0.3345 0.0333 0.7666  1 Li 2.02, 2 Hf 2.13
O: 0.2190 0.4381 0.2621  1 Hf 2.09, 1 Pu 2.27, 2 Li 2.30

Computed properties:
Total moment = 5.000 μB/f.u.
Formation energy from raw total energies = -2.933 eV/atom

---

(5)
Material: RbLiHfO3
Method: DFT, PBE-GGA
State: relaxed

Cell lengths 3.2832, 6.5643, 8.4093 Å; angles 90.00, 90.00, 104.48 degrees
With the nearest neighbours (Å) after each atom.
Element x y z (fractional)
Rb: 0.7261 0.4521 0.7500  4 O 2.89-3.03
Rb: 0.2739 0.5479 0.2500  4 O 2.89-3.03
Li: 0.4458 0.8916 0.7500  4 O 1.88-1.93
Li: 0.5542 0.1084 0.2500  4 O 1.88-1.93
Hf: 0.0000 0.0000 0.5000  6 O 2.13
Hf: 0.0000 0.0000 0.0000  6 O 2.13
O: 0.6031 0.2062 0.4614  1 Li 1.88
O: 0.3969 0.7938 0.5386  1 Li 1.88
O: 0.3969 0.7938 0.9614  1 Li 1.88
O: 0.6031 0.2062 0.0386  1 Li 1.88
O: 0.0254 0.0509 0.7500  2 Li 1.93, 2 Hf 2.13
O: 0.9746 0.9491 0.2500  2 Li 1.93, 2 Hf 2.13

Computed properties:
Total moment = 0.000 μB/f.u.
Formation energy from raw total energies = -2.627 eV/atom

---

(6)
Material: Li2HfRhO
Method: DFT, PBE-GGA
State: relaxed

Cell lengths 3.9013, 3.9013, 4.2938 Å; angles 90.00, 90.00, 90.00 degrees
With the nearest neighbours (Å) after each atom.
Element x y z (fractional)
Rh: 0.5000 0.5000 0.5000  4 Hf 2.76, 8 Li 2.90
Hf: 0.0000 0.0000 0.5000  2 O 2.15
O: 0.0000 0.0000 0.0000  4 Li 1.95, 2 Hf 2.15
Li: 0.0000 0.5000 0.0000  2 O 1.95
Li: 0.5000 0.0000 0.0000  2 O 1.95

Computed properties:
Total moment = 0.000 μB/f.u.
Formation energy from raw total energies = -1.266 eV/atom

---

(7)
Material: LiHf2RuO
Method: DFT, PBE-GGA
State: relaxed

Cell lengths 4.4642, 4.4642, 3.5640 Å; angles 90.00, 90.00, 90.00 degrees
With the nearest neighbours (Å) after each atom.
Element x y z (fractional)
Ru: 0.5000 0.5000 0.5000  8 Hf 2.86, 4 Li 3.16
Hf: 0.0000 0.5000 0.0000  2 O 2.23
Hf: 0.5000 0.0000 0.0000  2 O 2.23
O: 0.0000 0.0000 0.0000  2 Li 1.78
Li: 0.0000 0.0000 0.5000  2 O 1.78

Computed properties:
Total moment = 0.000 μB/f.u.
Formation energy from raw total energies = -1.293 eV/atom

---

(8)
Material: Li2HfSO8
Method: DFT, PBE-GGA
State: relaxed

Cell lengths 5.1746, 5.1746, 5.4425 Å; angles 90.00, 90.00, 120.00 degrees
With the nearest neighbours (Å) after each atom.
Element x y z (fractional)
Li: 0.6667 0.3333 0.0068  3 O 1.96
Li: 0.3333 0.6667 0.9932  3 O 1.96
Hf: 0.0000 0.0000 0.5000  6 O 2.17
S: 0.0000 0.0000 0.0000  6 O 1.66
O: 0.8519 0.7038 0.8165  1 S 1.66
O: 0.2962 0.1481 0.8165  1 S 1.66
O: 0.8519 0.1481 0.8165  1 S 1.66
O: 0.1481 0.2962 0.1835  1 S 1.66
O: 0.7038 0.8519 0.1835  1 S 1.66
O: 0.1481 0.8519 0.1835  1 S 1.66
O: 0.6667 0.3333 0.4349  1 Li 2.33
O: 0.3333 0.6667 0.5651  1 Li 2.33

Computed properties:
Total moment = 4.014 μB/f.u.
Formation energy from raw total energies = -1.058 eV/atom

---

(9)
Material: LiHfS2O8
Method: DFT, PBE-GGA
State: relaxed

Cell lengths 5.3261, 5.3261, 6.2932 Å; angles 90.00, 90.00, 120.00 degrees
With the nearest neighbours (Å) after each atom.
Element x y z (fractional)
Li: 0.0000 0.0000 0.0000  6 O 2.45
Hf: 0.0000 0.0000 0.5000  6 O 2.11
S: 0.6667 0.3333 0.2085  4 O 1.44-1.52
S: 0.3333 0.6667 0.7915  4 O 1.44-1.52
O: 0.3333 0.6667 0.0204  1 S 1.44
O: 0.3570 0.1785 0.2893  1 S 1.52
O: 0.8215 0.1785 0.2893  1 S 1.52
O: 0.6667 0.3333 0.9796  1 S 1.44
O: 0.1785 0.8215 0.7107  1 S 1.52
O: 0.6430 0.8215 0.7107  1 S 1.52
O: 0.1785 0.3570 0.7107  1 S 1.52
O: 0.8215 0.6430 0.2893  1 S 1.52

Computed properties:
Total moment = 0.000 μB/f.u.
Formation energy from raw total energies = -1.728 eV/atom

---

(10)
Material: Li2HfSbO
Method: DFT, PBE-GGA
State: relaxed

Cell lengths 4.2098, 4.2098, 4.2888 Å; angles 90.00, 90.00, 90.00 degrees
With the nearest neighbours (Å) after each atom.
Element x y z (fractional)
Sb: 0.5000 0.5000 0.5000  4 Hf 2.98, 8 Li 3.00
Hf: 0.0000 0.0000 0.5000  2 O 2.14
O: 0.0000 0.0000 0.0000  4 Li 2.10, 2 Hf 2.14
Li: 0.0000 0.5000 0.0000  2 O 2.10
Li: 0.5000 0.0000 0.0000  2 O 2.10

Computed properties:
Total moment = 0.000 μB/f.u.
Formation energy from raw total energies = -1.356 eV/atom

---

(11)
Material: LiHfScO4
Method: DFT, PBE-GGA
State: relaxed

Cell lengths 6.2684, 6.3152, 6.3152 Å; angles 60.27, 60.25, 60.25 degrees
With the nearest neighbours (Å) after each atom.
Element x y z (fractional)
Li: 0.6315 0.6185 0.1185  4 O 2.13-2.15
Li: 0.3685 0.3815 0.8815  4 O 2.13-2.15
Hf: 0.0000 0.0000 0.0000  6 O 2.08-2.11
Hf: 0.0000 0.5000 0.5000  6 O 2.08-2.11
Sc: 0.5000 0.0000 0.5000  6 O 2.13-2.16
Sc: 0.0000 0.0000 0.5000  6 O 2.13-2.16
O: 0.7677 0.7573 0.7072  1 Hf 2.08, 2 Sc 2.13, 1 Li 2.13
O: 0.2323 0.7928 0.7427  1 Hf 2.08, 2 Sc 2.13, 1 Li 2.13
O: 0.7677 0.2072 0.2573  1 Hf 2.08, 2 Sc 2.13, 1 Li 2.13
O: 0.2323 0.2427 0.2928  1 Hf 2.08, 2 Sc 2.13, 1 Li 2.13
O: 0.2120 0.7596 0.2596  2 Hf 2.11, 1 Li 2.15, 1 Sc 2.16
O: 0.7689 0.7596 0.2596  2 Hf 2.11, 1 Li 2.15, 1 Sc 2.16
O: 0.2311 0.2404 0.7404  2 Hf 2.11, 1 Li 2.15, 1 Sc 2.16
O: 0.7880 0.2404 0.7404  2 Hf 2.11, 1 Li 2.15, 1 Sc 2.16

Computed properties:
Total moment = 0.000 μB/f.u.
Formation energy from raw total energies = -3.185 eV/atom

---

(12)
Material: Li2HfSeO6
Method: DFT, PBE-GGA
State: relaxed

Cell lengths 4.4164, 5.2755, 5.2755 Å; angles 90.00, 90.00, 90.00 degrees
With the nearest neighbours (Å) after each atom.
Element x y z (fractional)
Li: 0.9570 0.5000 0.0000  4 O 2.13
Li: 0.9570 0.0000 0.5000  4 O 2.13
Hf: 0.6052 0.5000 0.5000  5 O 1.88-2.08
Se: 0.6090 0.0000 0.0000  5 O 1.64-1.79
O: 0.7257 0.2302 0.2302  1 Se 1.79
O: 0.7257 0.2302 0.7698  1 Se 1.79
O: 0.1784 0.5000 0.5000  1 Hf 1.88
O: 0.2375 0.0000 0.0000  1 Se 1.64
O: 0.7257 0.7698 0.7698  1 Se 1.79
O: 0.7257 0.7698 0.2302  1 Se 1.79

Computed properties:
Total moment = 0.000 μB/f.u.
Formation energy from raw total energies = -1.785 eV/atom